No. 1
This record from Alexandria describes crystalline InCoBiP2 at its relaxed geometry. The functional is PBE-GGA.

Properties
ΔH_f (0 K) = 0.29 eV/atom

Lattice parameters (Å, degrees): 4.325 4.325 5.782 90.00 90.00 90.00
Sites, in units of the cell vectors:
In (0.000, 0.000, 0.000)
Co (0.500, 0.500, 0.500)
Bi (0.500, 0.500, 0.000)
P (0.000, 0.500, 0.500)
P (0.500, 0.000, 0.500)


No. 2
This record from Alexandria describes crystalline PmPu2Ge2Pt at its relaxed geometry. The functional is PBE-GGA.

Properties
ΔH_f (0 K) = 0.15 eV/atom

Lattice parameters (Å, degrees): 10.451 10.451 10.451 156.74 156.74 33.13
Sites, in units of the cell vectors:
Pm (0.000, 0.000, 0.000)
Pu (0.250, 0.750, 0.500)
Pu (0.750, 0.250, 0.500)
Ge (0.150, 0.150, 0.000)
Ge (0.850, 0.850, 0.000)
Pt (0.500, 0.500, 0.000)


No. 3
This record from Alexandria describes crystalline Ag2Te2Se at its relaxed geometry. The functional is PBE-GGA.

Properties
Energy above the most stable polymorph in this dataset = 0 meV per atom

Lattice parameters (Å, degrees): 4.209 4.224 9.027 77.10 76.57 60.26
Sites, in units of the cell vectors:
Ag (0.224, 0.217, 0.332)
Ag (0.776, 0.783, 0.668)
Te (0.049, 0.062, 0.844)
Te (0.951, 0.938, 0.156)
Se (0.500, 0.500, 0.500)


No. 4
This record from Alexandria describes crystalline RbLiSi3 at its relaxed geometry. The functional is PBE-GGA.

Properties
Energy above the most stable polymorph in this dataset = 1206 meV per atom

Lattice parameters (Å, degrees): 5.646 5.646 5.646 90.00 90.00 90.00
Sites, in units of the cell vectors:
Rb (0.000, 0.000, 0.000)
Li (0.500, 0.500, 0.500)
Si (0.000, 0.000, 0.500)
Si (0.000, 0.500, 0.000)
Si (0.500, 0.000, 0.000)


No. 5
This record from Alexandria describes crystalline Pa2NiGe4Pd3 at its relaxed geometry. The functional is PBE-GGA.

Properties
ΔH_f (0 K) = -0.57 eV/atom

Lattice parameters (Å, degrees): 4.280 4.280 9.896 90.00 90.00 90.00
Sites, in units of the cell vectors:
Pa (0.000, 0.500, 0.239)
Pa (0.500, 0.000, 0.761)
Ni (0.500, 0.500, 0.000)
Ge (0.000, 0.000, 0.500)
Ge (0.000, 0.500, 0.875)
Ge (0.500, 0.000, 0.125)
Ge (0.500, 0.500, 0.500)
Pd (0.000, 0.000, 0.000)
Pd (0.000, 0.500, 0.631)
Pd (0.500, 0.000, 0.369)


No. 6
This record from Alexandria describes crystalline Ba2NiTeH at its relaxed geometry. The functional is PBE-GGA.

Lattice parameters (Å, degrees): 6.616 6.616 4.637 90.00 90.00 90.00
Sites, in units of the cell vectors:
Ba (0.000, 0.500, 0.000)
Ba (0.500, 0.000, 0.000)
Ni (0.000, 0.000, 0.500)
Te (0.000, 0.000, 0.000)
H (0.500, 0.500, 0.500)


Fermi-level density of states
In order: 4.3; 13.9; 2.2; 5.8; 6.0; 3.7
Unit: states/eV/f.u.
VASP energy
In order: -0.3396; -0.5852; -0.2261; -0.1372; -0.4739; -0.2419
Unit: Ry per atom
Calculated volume
In order: 21.6; 29.6; 26.9; 36.0; 18.1; 40.6
Unit: Å³/atom